[1]
Compound: BaPd3Pb5
Source: the Alexandria database
Functional: PBE
Structure: optimized geometry

Lattice parameters (Å, degrees): 4.593 7.350 15.885 90.00 90.00 108.21
Positions (direct):
1 Pb 0.208 0.417 0.915
2 Pb 0.459 0.918 0.347
3 Pb 0.541 0.082 0.847
4 Pb 0.000 0.000 0.000
5 Pb 0.792 0.583 0.415
6 Pb 0.459 0.918 0.153
7 Pb 0.792 0.583 0.085
8 Pb 0.541 0.082 0.653
9 Pb 0.000 0.000 0.500
10 Pb 0.208 0.417 0.585
11 Pd 0.388 0.777 0.981
12 Pd 0.875 0.750 0.250
13 Pd 0.612 0.223 0.481
14 Pd 0.125 0.250 0.750
15 Pd 0.612 0.223 0.019
16 Pd 0.388 0.777 0.519
17 Ba 0.834 0.667 0.750
18 Ba 0.166 0.333 0.250

Computed properties:
SG ... No. 63
E ... -4.258 eV per atom
ρ ... 9.73 g/cm³
Calculated formation energy ... -5.84 kcal/mol of atoms



[2]
Compound: Ba2PdPb
Source: the Alexandria database
Functional: PBE
Structure: optimized geometry

Lattice parameters (Å, degrees): 4.362 4.362 11.220 78.79 78.79 60.00
Positions (direct):
1 Pd 0.500 0.500 0.500
2 Ba 0.110 0.110 0.671
3 Ba 0.890 0.890 0.329
4 Pb 0.000 0.000 0.000

Computed properties:
SG ... No. 166
E ... -3.337 eV per atom
ρ ... 5.42 g/cm³
Calculated formation energy ... -3.46 kcal/mol of atoms



[3]
Compound: Ba2PdPb
Source: the Alexandria database
Functional: PBE
Structure: optimized geometry

Lattice parameters (Å, degrees): 9.149 9.149 7.369 51.63 51.63 90.00
Positions (direct):
1 Ba 0.178 0.625 0.250
2 Ba 0.875 0.822 0.750
3 Ba 0.572 0.125 0.250
4 Ba 0.375 0.428 0.750
5 Pb 0.750 0.250 0.500
6 Pb 0.000 0.000 0.000
7 Pd 0.250 0.750 0.500
8 Pd 0.500 0.500 0.000

Computed properties:
SG ... No. 122
E ... -3.443 eV per atom
ρ ... 6.62 g/cm³
Calculated formation energy ... -5.92 kcal/mol of atoms